DFT (PBE with a Hubbard U) results for CoNi2IrO6 after structural relaxation.

POSCAR file:
```
CoNi2IrO6
1.0
5.1189 -0.0006 -0.0015
2.5604 4.4326 0.0000
2.5608 1.4767 4.5898
Co Ni Ir O
1 2 1 6
Direct
0.8115 0.8115 0.5654
0.5207 0.5207 0.4378
0.0162 0.0162 0.9515
0.3202 0.3202 0.0393
0.5952 0.2206 0.2488
0.2207 0.9353 0.2488
0.9353 0.5952 0.2488
0.4160 0.7112 0.7583
0.7112 0.1145 0.7583
0.1146 0.4160 0.7583
```

Its final energy is -5.766 eV per atom. The calculation puts the density of states at the Fermi level at 3.29 states/eV/f.u.